An optimized crystal structure of Ge2SeI. Source: Alexandria via LeMat-Bulk, functional GGA-PBE.

Calculated values
Symmetry: Fm-3m, No. 225
Polymorph energy (0 for the lowest one) (meV per atom): 237
N(E_F) (states/eV/cell): 4.3

abc: 7.265 7.265 7.265
angles: 90.00 90.00 90.00
Sites, in units of the cell vectors:
Ge1 0.250 0.250 0.250
Ge2 0.250 0.250 0.750
Ge3 0.250 0.750 0.250
Ge4 0.250 0.750 0.750
Ge5 0.750 0.250 0.250
Ge6 0.750 0.250 0.750
Ge7 0.750 0.750 0.250
Ge8 0.750 0.750 0.750
Se1 0.000 0.000 0.000
Se2 0.000 0.500 0.500
Se3 0.500 0.000 0.500
Se4 0.500 0.500 0.000
I1 0.000 0.000 0.500
I2 0.000 0.500 0.000
I3 0.500 0.000 0.000
I4 0.500 0.500 0.500